Entry from Alexandria via LeMat-Bulk: a relaxed Sr2H3F crystal (PBE).

Structure (POSCAR):
```
Sr2H3F
1.0
3.8096 0.0000 0.0000
0.0000 7.3556 0.0000
0.0000 0.0000 6.3268
Sr H F
4 6 2
direct
0.0000 0.1353 0.0000
0.0000 0.8647 0.5000
0.5000 0.3627 0.5140
0.5000 0.6373 0.0140
0.0000 0.1808 0.6159
0.0000 0.4273 0.2269
0.0000 0.5727 0.7269
0.0000 0.8192 0.1159
0.5000 0.3220 0.8996
0.5000 0.6780 0.3996
0.5000 0.0798 0.2834
0.5000 0.9202 0.7834
```

Output
For the volume, the calculation gives 14.8 Å³ per atom. Its energy is -3.933 eV per atom.



Entry from Alexandria via LeMat-Bulk: a relaxed Sr3HF crystal (PBE).

Structure (POSCAR):
```
Sr3HF
1.0
5.5172 0.0000 0.0000
0.0000 5.5172 0.0000
0.0000 0.0000 5.5172
Sr H F
3 1 1
direct
0.0000 0.0000 0.5000
0.0000 0.5000 0.0000
0.5000 0.0000 0.0000
0.5000 0.5000 0.5000
0.0000 0.0000 0.0000
```

Output
For the volume, the calculation gives 33.6 Å³ per atom. Its energy is -2.620 eV per atom.



Entry from Alexandria via LeMat-Bulk: a relaxed Sr2H2F7 crystal (PBE).

Structure (POSCAR):
```
Sr2H2F7
1.0
4.1473 -4.2094 0.0000
4.1473 4.2094 0.0000
-2.4083 0.0000 4.1795
Sr H F
2 2 7
direct
0.2315 0.7685 0.0000
0.7685 0.2315 0.0000
0.1877 0.1877 0.7182
0.8123 0.8123 0.2818
0.0521 0.3276 0.7272
0.1876 0.1876 0.2300
0.3276 0.0521 0.7272
0.5000 0.5000 0.5000
0.6724 0.9479 0.2728
0.8124 0.8124 0.7700
0.9479 0.6724 0.2728
```

Output
For the volume, the calculation gives 13.3 Å³ per atom. Its energy is -4.723 eV per atom.



Entry from Alexandria via LeMat-Bulk: a relaxed SrHF crystal (PBE).

Structure (POSCAR):
```
SrHF
1.0
0.0000 2.9287 2.9287
2.9287 0.0000 2.9287
2.9287 2.9287 0.0000
Sr H F
1 1 1
direct
0.0000 0.0000 0.0000
0.2500 0.2500 0.2500
0.7500 0.7500 0.7500
```

Output
For the volume, the calculation gives 16.7 Å³ per atom. Its energy is -4.544 eV per atom.



Entry from Alexandria via LeMat-Bulk: a relaxed SrH2F8 crystal (PBE).

Structure (POSCAR):
```
SrH2F8
1.0
4.3688 0.0000 0.0000
-0.7292 5.6970 0.0000
-1.8124 -2.8469 6.9010
Sr H F
1 2 8
direct
0.0000 0.0000 0.0000
0.4207 0.5913 0.8599
0.5609 0.7316 0.1406
0.1765 0.4733 0.4792
0.2720 0.6353 0.0002
0.5237 0.1672 0.0004
0.5718 0.6062 0.7783
0.6117 0.0775 0.7057
0.6956 0.9952 0.5213
0.7932 0.8280 0.2220
0.9082 0.3723 0.2952
```

Output
For the volume, the calculation gives 15.6 Å³ per atom. Its energy is -3.730 eV per atom.



Entry from Alexandria via LeMat-Bulk: a relaxed Sr2HF crystal (PBE).

Structure (POSCAR):
```
Sr2HF
1.0
-2.9718 2.9718 5.8954
2.9718 -2.9718 5.8954
2.9718 2.9718 -5.8954
Sr H F
4 2 2
direct
0.1231 0.6250 0.9981
0.3750 0.3731 0.4981
0.6269 0.1250 0.0019
0.8750 0.8769 0.5019
0.2500 0.7500 0.5000
0.5000 0.5000 0.0000
0.0000 0.0000 0.0000
0.7500 0.2500 0.5000
```

Output
For the volume, the calculation gives 26.0 Å³ per atom. Its energy is -3.593 eV per atom.